Entry 1:
VASP calculation (PBE) on crystalline Cs2BaNaAg at its relaxed geometry.

a b c (Å): 7.1334 7.1334 6.7463
angles (deg): 90.00 90.00 90.00
Fractional coordinates of all 5 atoms:
Cs (0.5000, 0.0000, 0.0000)
Cs (0.0000, 0.5000, 0.0000)
Ba (0.0000, 0.0000, 0.5000)
Na (0.5000, 0.5000, 0.5000)
Ag (0.0000, 0.0000, 0.0000)

## Properties
- SG = P4/mmm
- formation energy (kcal/mol of atoms) = 2.20
- density (g/cm3) = 2.58
- calculated volume (Å³ per atom) = 68.7

=====

Entry 2:
VASP calculation (PBE) on crystalline AcZn4Rh at its relaxed geometry.

a b c (Å): 5.3785 5.3785 5.3785
angles (deg): 60.00 60.00 60.00
Fractional coordinates of all 6 atoms:
Zn (0.6222, 0.6222, 0.6222)
Zn (0.6222, 0.1335, 0.6222)
Zn (0.1335, 0.6222, 0.6222)
Zn (0.6222, 0.6222, 0.1335)
Ac (0.0000, 0.0000, 0.0000)
Rh (0.2500, 0.2500, 0.2500)

## Properties
- SG = F-43m
- distance to the lowest polymorph of the same formula (meV per atom) = 97
- formation energy (kcal/mol of atoms) = -6.11
- density (g/cm3) = 8.93
- calculated volume (Å³ per atom) = 18.3

=====

Entry 3:
VASP calculation (PBE) on crystalline Pm2ScCd4 at its relaxed geometry.

a b c (Å): 5.1877 5.1877 9.0209
angles (deg): 73.29 73.29 60.00
Fractional coordinates of all 7 atoms:
Pm (0.2498, 0.2498, 0.2506)
Pm (0.7502, 0.7502, 0.7494)
Cd (0.3750, 0.3750, 0.8751)
Cd (0.8755, 0.8755, 0.3735)
Cd (0.1245, 0.1245, 0.6265)
Cd (0.6250, 0.6250, 0.1249)
Sc (0.0000, 0.0000, 0.0000)

## Properties
- SG = R-3m
- distance to the lowest polymorph of the same formula (meV per atom) = 0
- formation energy (kcal/mol of atoms) = -2.87
- density (g/cm3) = 6.57
- calculated volume (Å³ per atom) = 28.3

=====

Q: Look up the formation energy of the second one.
A: -6.11 kcal/mol of atoms